## Ti2BeSi2 (PBE)

Data for Ti2BeSi2 after structural relaxation.

a = 9.233 Å, b = 3.600 Å, c = 8.987 Å
α = 90.00°, β = 115.78°, γ = 90.00°
Space group C2/m (No. 12)
Unique sites:
1 Ti 0.008 0.000 0.173 [4 per cell]
2 Ti 0.189 0.000 0.612 [4 per cell]
3 Be 0.205 0.500 0.826 [4 per cell]
4 Si 0.034 0.500 0.390 [4 per cell]
5 Si 0.151 0.500 0.063 [4 per cell]

## Properties
Electronic total energy   -6.7095 eV/atom
Raw formation energy   -0.637 eV per atom